! Li2TaZn (PBE-GGA, relaxed); values from VASP
&SYSTEM
  ibrav = 0, nat = 4, ntyp = 3
/
ATOMIC_SPECIES
Li 6.94 Li.upf
Zn 65.41 Zn.upf
Ta 180.95 Ta.upf
CELL_PARAMETERS angstrom
-3.310 9.341 -1.399
-4.927 8.677 0.778
-2.346 9.655 1.202
ATOMIC_POSITIONS angstrom
Li -5.263 13.762 0.289
Li -0.028 0.074 0.002
Zn -7.937 20.754 0.435
Ta -2.646 6.918 0.145
! V (A^3/atom): 16.67
! Calculated density (g cm⁻³): 6.481

***

! LiTaZn (PBE-GGA, relaxed); values from VASP
&SYSTEM
  ibrav = 0, nat = 6, ntyp = 3
/
ATOMIC_SPECIES
Ta 180.95 Ta.upf
Li 6.94 Li.upf
Zn 65.41 Zn.upf
CELL_PARAMETERS angstrom
-2.450 -0.446 -2.446
2.182 -2.610 0.780
-6.715 -3.417 7.349
ATOMIC_POSITIONS angstrom
Ta -3.357 -1.709 3.675
Li -5.942 -3.730 4.142
Li -1.041 -2.743 1.542
Zn -5.036 -2.563 5.512
Zn -1.679 -0.854 1.837
Ta 0.000 0.000 0.000
! Polymorph energy (0 for the lowest one) (eV/atom): 1.359
! V (A^3/atom): 18.51
! Calculated density (g cm⁻³): 7.574

***

! LiTa2Zn (PBE-GGA, relaxed); values from VASP
&SYSTEM
  ibrav = 0, nat = 4, ntyp = 3
/
ATOMIC_SPECIES
Ta 180.95 Ta.upf
Li 6.94 Li.upf
Zn 65.41 Zn.upf
CELL_PARAMETERS angstrom
2.786 0.020 0.000
-0.670 2.705 0.000
0.000 0.000 9.113
ATOMIC_POSITIONS angstrom
Ta 1.058 1.362 2.349
Li 1.058 1.362 6.672
Zn 0.000 0.000 4.568
Ta 0.000 0.000 0.081
! V (A^3/atom): 17.20
! Calculated density (g cm⁻³): 10.480

***

Number 1: formation energy 120 meV/atom. Number 2: formation energy 1334 meV/atom. Number 3: formation energy 90 meV/atom.